Record 1
Here is Y2MoAs at its PBEsol-relaxed geometry from Alexandria via LeMat-Bulk. Energies are from SCAN.

Calculated values
As for the energy of formation from the pure elements: -1.86 eV per formula unit. Its volume is 87.72 Å³/f.u. Its total DFT energy (no corrections) is -28.157 eV per atom. The calculation puts the mass density at 6.6 g/cm³.

Cell: 4.148 3.943 10.727 Å, 90.00 90.00 90.00°
Space group Amm2 (No. 38)
Asymmetric unit:
Y  0.000  0.000  0.000 [2 per cell]
Y  0.500  0.000  0.284 [2 per cell]
Mo  0.500  0.000  0.566 [2 per cell]
As  0.000  0.000  0.711 [2 per cell]

=====

Record 2
Here is YMoAs2 at its PBEsol-relaxed geometry from Alexandria via LeMat-Bulk. Energies are from SCAN.

Calculated values
As for the energy of formation from the pure elements: -1.00 eV per formula unit. The calculation puts the offset from the most stable computed form at 484 meV per atom. Its volume is 74.60 Å³/f.u. Its total DFT energy (no corrections) is -26.028 eV per atom. The calculation puts the mass density at 7.5 g/cm³.

Cell: 3.920 3.920 9.709 Å, 90.00 90.00 90.00°
Space group I-4m2 (No. 119)
Asymmetric unit:
Y  0.000  0.000  0.000 [2 per cell]
Mo  0.000  0.500  0.750 [2 per cell]
As  0.000  0.000  0.500 [2 per cell]
As  0.000  0.500  0.250 [2 per cell]

=====

Record 3
Here is YMo2As at its PBEsol-relaxed geometry from Alexandria via LeMat-Bulk. Energies are from SCAN.

Calculated values
As for the energy of formation from the pure elements: 0.46 eV per formula unit. Its volume is 68.87 Å³/f.u. Its total DFT energy (no corrections) is -29.337 eV per atom. The calculation puts the mass density at 8.6 g/cm³.

Cell: 4.359 4.359 7.248 Å, 90.00 90.00 90.00°
Space group I-4m2 (No. 119)
Asymmetric unit:
Y  0.000  0.000  0.000 [2 per cell]
Mo  0.000  0.000  0.500 [2 per cell]
Mo  0.000  0.500  0.250 [2 per cell]
As  0.000  0.500  0.750 [2 per cell]

=====

Record 4
Here is YMo2As at its PBEsol-relaxed geometry from Alexandria via LeMat-Bulk. Energies are from SCAN.

Calculated values
As for the energy of formation from the pure elements: 0.45 eV per formula unit. Its volume is 74.80 Å³/f.u. Its total DFT energy (no corrections) is -29.339 eV per atom. The calculation puts the mass density at 7.9 g/cm³.

Cell: 3.2406 3.2406 24.6753 Å, 90.00 90.00 120.00°
Space group R3m (No. 160, hexagonal axes)
Asymmetric unit:
Y  0.0000  0.0000  0.0000 [3 per cell]
Mo  0.0000  0.0000  0.2396 [3 per cell]
Mo  0.0000  0.0000  0.4996 [3 per cell]
As  0.0000  0.0000  0.7611 [3 per cell]

=====

> The lowest energy of formation from the pure elements belongs to which entry?

Y2MoAs